PBE Er7Co2Sb2, optimized geometry; symmetry = No. 44; ΔE_f (raw) = -0.48 eV per atom; total moment = 0.00 Bohr magnetons per cell
1.0
3.6567 0.0000 0.0000
1.8284 9.2783 -0.0783
1.8284 4.3303 8.2062
Sb Co Er
2 2 7
direct
0.0000 0.7676 0.2324
0.5000 0.3567 0.6433
0.2607 0.3329 0.1457
0.7393 0.8543 0.6671
0.1528 0.0993 0.5952
0.8472 0.4048 0.9007
0.5000 0.0330 0.9670
0.3690 0.7305 0.5316
0.8159 0.0873 0.2809
0.6310 0.4684 0.2695
0.1841 0.7191 0.9127